No. 1
{
  "formula": "Tb2PmPt",
  "functional": "GGA-PBE",
  "state": "relaxed",
  "magmom_total_mub_per_fu": 0.00,
  "de_polymorph_mev_per_atom": 32,
  "formation_energy_ev_per_atom": -0.653,
  "n_ef_per_ev_atom": 1.261,
  "total_energy_ev_per_atom": -5.67,
  "lattice_angstrom": [[-1.792, -1.846, 2.855], [6.279, 0.309, 1.550], [-1.483, 8.207, 4.375]],
  "species": ["Tb", "Tb", "Tb", "Tb", "Pm", "Pm", "Pt", "Pt"],
  "fractional_positions": [[0.138, 0.276, 0.437], [0.862, 0.724, 0.563], [0.862, 0.724, 0.937], [0.138, 0.276, 0.063], [0.433, 0.866, 0.250], [0.567, 0.134, 0.750], [0.737, 0.473, 0.250], [0.263, 0.527, 0.750]]
}

No. 2
{
  "formula": "BaLa2As2",
  "functional": "GGA-PBE",
  "state": "relaxed",
  "magmom_total_mub_per_fu": 0.00,
  "de_polymorph_mev_per_atom": 123,
  "formation_energy_ev_per_atom": -0.970,
  "n_ef_per_ev_atom": 0.402,
  "total_energy_ev_per_atom": -5.19,
  "lattice_angstrom": [[-5.375, -1.746, 0.226], [1.761, -5.325, 0.732], [-1.821, -2.733, 6.348]],
  "species": ["As", "As", "Ba", "La", "La"],
  "fractional_positions": [[0.750, 0.250, 0.500], [0.250, 0.750, 0.500], [0.000, 0.000, 0.000], [0.322, 0.322, 0.355], [0.678, 0.678, 0.645]]
}

No. 3
{
  "formula": "Be5Hg",
  "functional": "GGA-PBE",
  "state": "relaxed",
  "magmom_total_mub_per_fu": 0.00,
  "de_polymorph_mev_per_atom": 0,
  "formation_energy_ev_per_atom": 0.286,
  "n_ef_per_ev_atom": 0.244,
  "total_energy_ev_per_atom": -2.87,
  "lattice_angstrom": [[-2.413, 0.378, -3.718], [1.456, -3.994, 1.311], [-3.085, -0.483, 1.954]],
  "species": ["Be", "Be", "Be", "Be", "Be", "Hg"],
  "fractional_positions": [[0.333, 0.667, 0.000], [0.667, 0.333, 0.000], [0.500, 0.000, 0.500], [0.000, 0.500, 0.500], [0.500, 0.500, 0.500], [0.000, 0.000, 0.000]]
}